Record 1
## TlHg2Cl (SCAN)

Data for a crystal of TlHg2Cl relaxed with PBEsol.

Cell and atoms, written as POSCAR:
```
TlHg2Cl
1.0
4.330 0.000 0.000
0.000 4.330 0.000
0.000 0.000 5.617
Hg Cl Tl
2 1 1
direct
0.000 0.500 0.000 Hg
0.500 0.000 0.000 Hg
0.000 0.000 0.500 Cl
0.500 0.500 0.500 Tl
```

Volume = 26.3 A^3/atom
Energy above the most stable polymorph in this dataset = 0.004 eV per atom
VASP energy = -54.64 eV/atom

***

Record 2
## TlHg2Cl (SCAN)

Data for a crystal of TlHg2Cl relaxed with PBEsol.

Cell and atoms, written as POSCAR:
```
TlHg2Cl
1.0
-0.855 4.341 -2.839
-2.939 -0.242 -4.351
-4.802 2.202 -0.054
Cl Hg Tl
1 2 1
direct
0.250 0.250 0.250 Cl
0.000 0.000 0.000 Hg
0.750 0.750 0.751 Hg
0.500 0.500 0.499 Tl
```

Volume = 25.9 A^3/atom
Energy above the most stable polymorph in this dataset = 0.040 eV per atom
VASP energy = -54.60 eV/atom

***

Record 3
## TlHg5Cl11 (SCAN)

Data for a crystal of TlHg5Cl11 relaxed with PBEsol.

Cell and atoms, written as POSCAR:
```
TlHg5Cl11
1.0
6.357 0.060 0.083
-2.697 8.627 -0.024
-2.697 -2.708 8.191
Cl Hg Tl
11 5 1
direct
0.707 0.204 0.642 Cl
0.604 0.847 0.847 Cl
0.293 0.796 0.358 Cl
0.083 0.917 0.671 Cl
0.500 0.500 0.500 Cl
0.707 0.642 0.204 Cl
0.917 0.329 0.083 Cl
0.917 0.083 0.329 Cl
0.293 0.358 0.796 Cl
0.396 0.153 0.153 Cl
0.083 0.671 0.917 Cl
0.312 0.483 0.145 Hg
0.000 0.000 0.000 Hg
0.688 0.855 0.517 Hg
0.688 0.517 0.855 Hg
0.312 0.145 0.483 Hg
0.000 0.500 0.500 Tl
```

Volume = 26.6 A^3/atom
VASP energy = -30.18 eV/atom